1.
This record from the Alexandria database describes a geometry-optimized Zn2SiTe structure. The functional is PBE.

Geometry as POSCAR:
```
Zn2SiTe
1.0
3.951 -1.912 0.000
3.951 1.912 0.000
-2.257 0.000 5.553
Zn Si Te
2 1 1
direct
0.000 0.000 0.000
0.200 0.200 0.752
0.467 0.467 0.647
0.793 0.793 0.266
```

Computed properties:
total moment: 0.00 μB/f.u.
D(E_F): 1.0 states/eV/cell
ΔE to the lowest computed polymorph: 0.046 eV/atom
raw formation energy: 0.114 eV/atom
uncorrected energy: -10.657 eV per cell

2.
This record from the Alexandria database describes a geometry-optimized Tb4Pr2Th structure. The functional is PBE.

Geometry as POSCAR:
```
Tb4Pr2Th
1.0
3.147 -1.812 0.000
3.147 1.812 0.000
-2.147 0.000 20.463
Tb Pr Th
4 2 1
direct
0.000 0.000 0.000
0.432 0.432 0.288
0.523 0.523 0.570
0.904 0.904 0.709
0.624 0.624 0.855
0.713 0.713 0.143
0.805 0.805 0.428
```

Computed properties:
energy of formation from the pure elements: 0.03 eV per atom
total moment: 0.00 μB/f.u.
D(E_F): 12.0 states/eV/cell
ΔE to the lowest computed polymorph: 0.000 eV/atom
uncorrected energy: -35.280 eV per cell

3.
This record from the Alexandria database describes a geometry-optimized YNiRh2C structure. The functional is PBE.

Geometry as POSCAR:
```
YNiRh2C
1.0
4.176 0.000 0.000
0.000 4.176 0.000
0.000 0.000 4.031
Y Ni Rh C
1 1 2 1
direct
0.000 0.000 0.000
0.500 0.500 0.000
0.000 0.500 0.500
0.500 0.000 0.500
0.500 0.500 0.500
```

Computed properties:
energy of formation from the pure elements: -0.36 eV per atom
total moment: 0.00 μB/f.u.
D(E_F): 3.4 states/eV/cell
uncorrected energy: -37.949 eV per cell

4.
This record from the Alexandria database describes a geometry-optimized Li3YTe3 structure. The functional is PBE.

Geometry as POSCAR:
```
Li3YTe3
1.0
3.959 2.286 7.225
-3.959 2.286 7.225
0.000 -4.571 7.225
Li Y Te
6 2 6
direct
0.128 0.807 0.427
0.193 0.573 0.872
0.427 0.128 0.807
0.573 0.872 0.193
0.807 0.427 0.128
0.872 0.193 0.573
0.334 0.334 0.334
0.666 0.666 0.666
0.077 0.440 0.727
0.273 0.923 0.560
0.440 0.727 0.077
0.560 0.273 0.923
0.727 0.077 0.440
0.923 0.560 0.273
```

Computed properties:
total moment: 0.00 μB/f.u.
D(E_F): 0.0 states/eV/cell
raw formation energy: -1.170 eV/atom
uncorrected energy: -59.640 eV per cell

5.
This record from the Alexandria database describes a geometry-optimized PuCuH8Rh2 structure. The functional is PBE.

Geometry as POSCAR:
```
PuCuH8Rh2
1.0
2.346 1.355 5.469
-2.346 1.355 5.469
0.000 -2.709 5.469
Pu Cu H Rh
1 1 8 2
direct
0.000 0.000 0.000
0.500 0.500 0.500
0.129 0.824 0.403
0.176 0.597 0.871
0.309 0.309 0.309
0.403 0.129 0.824
0.597 0.871 0.176
0.691 0.691 0.691
0.824 0.403 0.129
0.871 0.176 0.597
0.206 0.206 0.206
0.794 0.794 0.794
```

Computed properties:
total moment: 5.27 μB/f.u.
D(E_F): 15.0 states/eV/cell
uncorrected energy: -61.210 eV per cell

6.
This record from the Alexandria database describes a geometry-optimized Rb3Sc3CrSe8 structure. The functional is PBE.

Geometry as POSCAR:
```
Rb3Sc3CrSe8
1.0
3.881 2.241 8.207
-3.881 2.241 8.207
0.000 -4.481 8.207
Rb Sc Cr Se
3 3 1 8
direct
0.000 0.500 0.500
0.500 0.000 0.500
0.500 0.500 0.000
0.000 0.000 0.500
0.000 0.500 0.000
0.500 0.000 0.000
0.500 0.500 0.500
0.229 0.229 0.229
0.241 0.719 0.719
0.281 0.281 0.759
0.281 0.759 0.281
0.719 0.241 0.719
0.719 0.719 0.241
0.759 0.281 0.281
0.771 0.771 0.771
```

Computed properties:
total moment: 2.50 μB/f.u.
D(E_F): 5.3 states/eV/cell
raw formation energy: -1.336 eV/atom
uncorrected energy: -79.438 eV per cell

7.
This record from the Alexandria database describes a geometry-optimized AcHS structure. The functional is PBE.

Geometry as POSCAR:
```
AcHS
1.0
0.000 3.348 3.348
3.348 0.000 3.348
3.348 3.348 0.000
Ac H S
1 1 1
direct
0.000 0.000 0.000
0.250 0.250 0.250
0.750 0.750 0.750
```

Computed properties:
total moment: 0.00 μB/f.u.
D(E_F): 0.0 states/eV/cell
ΔE to the lowest computed polymorph: 0.208 eV/atom
uncorrected energy: -15.724 eV per cell

8.
This record from the Alexandria database describes a geometry-optimized K2AlTeSe4 structure. The functional is PBE.

Geometry as POSCAR:
```
K2AlTeSe4
1.0
0.000 7.612 10.824
3.519 0.000 10.824
3.519 7.612 0.000
K Al Te Se
4 2 2 8
direct
0.051 0.051 0.699
0.301 0.301 0.949
0.699 0.699 0.051
0.949 0.949 0.301
0.375 0.375 0.375
0.625 0.625 0.625
0.125 0.125 0.125
0.875 0.875 0.875
0.011 0.648 0.522
0.318 0.522 0.648
0.352 0.989 0.682
0.478 0.682 0.989
0.522 0.318 0.011
0.648 0.011 0.318
0.682 0.478 0.352
0.989 0.352 0.478
```

Computed properties:
total moment: 0.00 μB/f.u.
D(E_F): 3.2 states/eV/cell
raw formation energy: -0.668 eV/atom
uncorrected energy: -56.724 eV per cell